A plane-wave DFT calculation with PBE was carried out for crystalline Sc3Zn4Hg2 at its relaxed geometry.

abc: 4.531 5.556 8.440
angles: 115.84 90.00 114.06
Element x y z (fractional)
Zn 0.265 0.530 0.943
Zn 0.955 0.909 0.614
Zn 0.735 0.470 0.057
Zn 0.045 0.091 0.386
Hg 0.615 0.230 0.278
Hg 0.385 0.770 0.722
Sc 0.000 0.000 0.000
Sc 0.335 0.670 0.330
Sc 0.665 0.330 0.670

- V (Å³/atom) = 18.94
- energy of formation from the pure elements (eV per formula unit) = -3.09
- uncorrected energy (eV for the cell shown) = -27.78
- total magnetic moment (μB/atom) = 0.000